[1]
The following is a DFT calculation (PBEsol) of a relaxed structure of Mn2TlRh.

Output
Total magnetization in μB/f.u.: 5.86
DFT formation energy in eV per atom: 0.33
Space group: No. 25
Crystal system: orthorhombic

a = 2.972 Å, b = 3.396 Å, c = 5.896 Å
α = 90.00°, β = 90.00°, γ = 90.00°
Element x y z (fractional)
1 Mn 0.000 0.000 0.000
2 Mn 0.500 0.500 0.216
3 Tl 0.500 0.500 0.721
4 Rh 0.000 0.000 0.427

=====

[2]
The following is a DFT calculation (PBEsol) of a relaxed structure of LiZrPb2.

Output
Total magnetization in μB/f.u.: 0.00
DFT formation energy in eV per atom: -0.21
Space group: No. 166
Crystal system: trigonal

a = 9.964 Å, b = 9.964 Å, c = 9.964 Å
α = 19.12°, β = 19.12°, γ = 19.12°
Element x y z (fractional)
1 Li 0.000 0.000 0.000
2 Zr 0.500 0.500 0.500
3 Pb 0.253 0.253 0.253
4 Pb 0.747 0.747 0.747

=====

[3]
The following is a DFT calculation (PBEsol) of a relaxed structure of Sr3EuRhO6.

Output
Total magnetization in μB/f.u.: 5.96
Space group: No. 167
Crystal system: trigonal
Formation energy (no corrections) in meV per atom: -2444

a = 6.784 Å, b = 6.784 Å, c = 6.784 Å
α = 91.46°, β = 91.46°, γ = 91.46°
Element x y z (fractional)
1 Sr 0.119 0.750 0.381
2 Sr 0.250 0.619 0.881
3 Sr 0.381 0.119 0.750
4 Sr 0.619 0.881 0.250
5 Sr 0.750 0.381 0.119
6 Sr 0.881 0.250 0.619
7 Eu 0.250 0.250 0.250
8 Eu 0.750 0.750 0.750
9 Rh 0.000 0.000 0.000
10 Rh 0.500 0.500 0.500
11 O 0.051 0.918 0.711
12 O 0.082 0.289 0.949
13 O 0.211 0.418 0.551
14 O 0.289 0.949 0.082
15 O 0.418 0.551 0.211
16 O 0.449 0.789 0.582
17 O 0.551 0.211 0.418
18 O 0.582 0.449 0.789
19 O 0.711 0.051 0.918
20 O 0.789 0.582 0.449
21 O 0.918 0.711 0.051
22 O 0.949 0.082 0.289

=====

[4]
The following is a DFT calculation (PBEsol) of a relaxed structure of Ag2HgI4.

Output
Total magnetization in μB/f.u.: 0.00
Space group: No. 121
Crystal system: tetragonal
Formation energy (no corrections) in meV per atom: -231

a = 7.701 Å, b = 7.701 Å, c = 7.701 Å
α = 131.72°, β = 131.72°, γ = 70.68°
Element x y z (fractional)
1 Ag 0.250 0.750 0.500
2 Ag 0.750 0.250 0.500
3 Hg 0.000 0.000 0.000
4 I 0.151 0.151 0.539
5 I 0.388 0.849 0.000
6 I 0.612 0.612 0.461
7 I 0.849 0.388 0.000

=====

[5]
The following is a DFT calculation (PBEsol) of a relaxed structure of LiInPb4.

Output
Total magnetization in μB/f.u.: 0.00
DFT formation energy in eV per atom: 0.09
Space group: No. 216
Crystal system: cubic

a = 6.410 Å, b = 6.410 Å, c = 6.410 Å
α = 60.00°, β = 60.00°, γ = 60.00°
Element x y z (fractional)
1 Li 0.000 0.000 0.000
2 In 0.750 0.750 0.750
3 Pb 0.375 0.375 0.375
4 Pb 0.375 0.375 0.875
5 Pb 0.375 0.875 0.375
6 Pb 0.875 0.375 0.375

=====

[6]
The following is a DFT calculation (PBEsol) of a relaxed structure of CsMg2As2.

Output
Total magnetization in μB/f.u.: 0.00
DFT formation energy in eV per atom: -0.22
Space group: No. 127
Crystal system: tetragonal

a = 8.731 Å, b = 8.731 Å, c = 3.284 Å
α = 90.00°, β = 90.00°, γ = 90.00°
Element x y z (fractional)
1 Cs 0.000 0.000 0.000
2 Cs 0.500 0.500 0.000
3 Mg 0.126 0.374 0.500
4 Mg 0.374 0.874 0.500
5 Mg 0.626 0.126 0.500
6 Mg 0.874 0.626 0.500
7 As 0.149 0.649 0.000
8 As 0.351 0.149 0.000
9 As 0.649 0.851 0.000
10 As 0.851 0.351 0.000

=====

[7]
The following is a DFT calculation (PBEsol) of a relaxed structure of ScS.

Output
Total magnetization in μB/f.u.: 0.00
Space group: No. 225
Crystal system: cubic
Formation energy (no corrections) in meV per atom: -1989

a = 3.639 Å, b = 3.639 Å, c = 3.639 Å
α = 60.00°, β = 60.00°, γ = 60.00°
Element x y z (fractional)
1 Sc 0.000 0.000 0.000
2 S 0.500 0.500 0.500

=====

[8]
The following is a DFT calculation (PBEsol) of a relaxed structure of IrRu2Cl.

Output
Total magnetization in μB/f.u.: 0.00
Space group: No. 166
Crystal system: trigonal
Formation energy (no corrections) in meV per atom: 341

a = 8.402 Å, b = 8.402 Å, c = 8.402 Å
α = 18.98°, β = 18.98°, γ = 18.98°
Element x y z (fractional)
1 Ir 0.000 0.000 0.000
2 Ru 0.248 0.248 0.248
3 Ru 0.752 0.752 0.752
4 Cl 0.500 0.500 0.500

=====

[9]
The following is a DFT calculation (PBEsol) of a relaxed structure of Li2Mg2Si4O11.

Output
Total magnetization in μB/f.u.: 0.00
Space group: No. 2
Crystal system: triclinic
Formation energy (no corrections) in meV per atom: -2738

a = 6.886 Å, b = 7.394 Å, c = 8.668 Å
α = 99.32°, β = 101.06°, γ = 104.76°
Element x y z (fractional)
1 Li 0.109 0.293 0.195
2 Li 0.361 0.747 0.846
3 Li 0.639 0.253 0.154
4 Li 0.891 0.707 0.805
5 Mg 0.129 0.883 0.602
6 Mg 0.382 0.120 0.391
7 Mg 0.618 0.880 0.609
8 Mg 0.871 0.117 0.398
9 Si 0.020 0.724 0.225
10 Si 0.260 0.106 0.969
11 Si 0.268 0.476 0.592
12 Si 0.459 0.724 0.233
13 Si 0.541 0.276 0.767
14 Si 0.732 0.524 0.408
15 Si 0.740 0.894 0.031
16 Si 0.980 0.276 0.775
17 O 0.082 0.912 0.370
18 O 0.100 0.239 0.944
19 O 0.120 0.463 0.725
20 O 0.175 0.304 0.433
21 O 0.176 0.902 0.842
22 O 0.208 0.649 0.181
23 O 0.316 0.697 0.580
24 O 0.319 0.114 0.158
25 O 0.435 0.084 0.626
26 O 0.476 0.241 0.935
27 O 0.483 0.456 0.704
28 O 0.517 0.544 0.296
29 O 0.524 0.759 0.065
30 O 0.565 0.916 0.374
31 O 0.681 0.886 0.842
32 O 0.684 0.303 0.420
33 O 0.792 0.351 0.819
34 O 0.824 0.098 0.158
35 O 0.825 0.696 0.567
36 O 0.880 0.537 0.275
37 O 0.900 0.761 0.056
38 O 0.918 0.088 0.630

=====

[10]
The following is a DFT calculation (PBEsol) of a relaxed structure of CrSb2TeI.

Output
Total magnetization in μB/f.u.: 0.00
Space group: No. 123
Crystal system: tetragonal
Formation energy (no corrections) in meV per atom: 273

a = 5.090 Å, b = 5.090 Å, c = 4.945 Å
α = 90.00°, β = 90.00°, γ = 90.00°
Element x y z (fractional)
1 Cr 0.000 0.000 0.000
2 Sb 0.000 0.500 0.000
3 Sb 0.500 0.000 0.000
4 Te 0.000 0.000 0.500
5 I 0.500 0.500 0.500

=====

[11]
The following is a DFT calculation (PBEsol) of a relaxed structure of Dy4InRh.

Output
Total magnetization in μB/f.u.: 0.00
DFT formation energy in eV per atom: -0.56
Space group: No. 216
Crystal system: cubic

a = 9.479 Å, b = 9.479 Å, c = 9.479 Å
α = 60.00°, β = 60.00°, γ = 60.00°
Element x y z (fractional)
1 Dy 0.060 0.060 0.440
2 Dy 0.060 0.440 0.060
3 Dy 0.060 0.440 0.440
4 Dy 0.188 0.188 0.812
5 Dy 0.188 0.812 0.188
6 Dy 0.188 0.812 0.812
7 Dy 0.201 0.600 0.600
8 Dy 0.440 0.060 0.060
9 Dy 0.440 0.060 0.440
10 Dy 0.440 0.440 0.060
11 Dy 0.600 0.201 0.600
12 Dy 0.600 0.600 0.201
13 Dy 0.600 0.600 0.600
14 Dy 0.812 0.188 0.188
15 Dy 0.812 0.188 0.812
16 Dy 0.812 0.812 0.188
17 In 0.503 0.832 0.832
18 In 0.832 0.503 0.832
19 In 0.832 0.832 0.503
20 In 0.832 0.832 0.832
21 Rh 0.392 0.392 0.392
22 Rh 0.392 0.392 0.823
23 Rh 0.392 0.823 0.392
24 Rh 0.823 0.392 0.392

=====

[12]
The following is a DFT calculation (PBEsol) of a relaxed structure of KCoSb2Pb.

Output
Total magnetization in μB/f.u.: 0.00
Space group: No. 123
Crystal system: tetragonal
Formation energy (no corrections) in meV per atom: 94

a = 5.024 Å, b = 5.024 Å, c = 5.188 Å
α = 90.00°, β = 90.00°, γ = 90.00°
Element x y z (fractional)
1 K 0.000 0.000 0.000
2 Co 0.500 0.500 0.500
3 Sb 0.000 0.500 0.500
4 Sb 0.500 0.000 0.500
5 Pb 0.500 0.500 0.000

=====

[13]
The following is a DFT calculation (PBEsol) of a relaxed structure of YAsSe2Br.

Output
Total magnetization in μB/f.u.: 0.00
Space group: No. 123
Crystal system: tetragonal
Formation energy (no corrections) in meV per atom: -343

a = 4.994 Å, b = 4.994 Å, c = 5.059 Å
α = 90.00°, β = 90.00°, γ = 90.00°
Element x y z (fractional)
1 Y 0.000 0.000 0.000
2 As 0.500 0.500 0.500
3 Se 0.000 0.500 0.500
4 Se 0.500 0.000 0.500
5 Br 0.500 0.500 0.000

=====

[14]
The following is a DFT calculation (PBEsol) of a relaxed structure of Rb9Co2S7.

Output
Total magnetization in μB/f.u.: 7.00
Space group: No. 198
Crystal system: cubic
Formation energy (no corrections) in meV per atom: -862

a = 12.921 Å, b = 12.921 Å, c = 12.921 Å
α = 90.00°, β = 90.00°, γ = 90.00°
Element x y z (fractional)
1 Rb 0.012 0.488 0.512
2 Rb 0.042 0.705 0.076
3 Rb 0.048 0.750 0.582
4 Rb 0.076 0.042 0.705
5 Rb 0.082 0.452 0.250
6 Rb 0.167 0.167 0.167
7 Rb 0.194 0.306 0.694
8 Rb 0.205 0.424 0.958
9 Rb 0.250 0.082 0.452
10 Rb 0.250 0.918 0.952
11 Rb 0.295 0.576 0.458
12 Rb 0.306 0.694 0.194
13 Rb 0.333 0.833 0.667
14 Rb 0.418 0.548 0.750
15 Rb 0.424 0.958 0.205
16 Rb 0.452 0.250 0.082
17 Rb 0.458 0.295 0.576
18 Rb 0.488 0.512 0.012
19 Rb 0.512 0.012 0.488
20 Rb 0.542 0.795 0.924
21 Rb 0.548 0.750 0.418
22 Rb 0.576 0.458 0.295
23 Rb 0.582 0.048 0.750
24 Rb 0.667 0.333 0.833
25 Rb 0.694 0.194 0.306
26 Rb 0.705 0.076 0.042
27 Rb 0.750 0.418 0.548
28 Rb 0.750 0.582 0.048
29 Rb 0.795 0.924 0.542
30 Rb 0.806 0.806 0.806
31 Rb 0.833 0.667 0.333
32 Rb 0.918 0.952 0.250
33 Rb 0.924 0.542 0.795
34 Rb 0.952 0.250 0.918
35 Rb 0.958 0.205 0.424
36 Rb 0.988 0.988 0.988
37 Co 0.150 0.850 0.350
38 Co 0.176 0.676 0.824
39 Co 0.324 0.324 0.324
40 Co 0.350 0.150 0.850
41 Co 0.650 0.650 0.650
42 Co 0.676 0.824 0.176
43 Co 0.824 0.176 0.676
44 Co 0.850 0.350 0.150
45 S 0.047 0.953 0.453
46 S 0.063 0.799 0.829
47 S 0.086 0.687 0.338
48 S 0.162 0.914 0.187
49 S 0.171 0.563 0.701
50 S 0.187 0.162 0.914
51 S 0.201 0.329 0.437
52 S 0.299 0.671 0.937
53 S 0.313 0.838 0.414
54 S 0.329 0.437 0.201
55 S 0.338 0.086 0.687
56 S 0.414 0.313 0.838
57 S 0.437 0.201 0.329
58 S 0.453 0.047 0.953
59 S 0.547 0.547 0.547
60 S 0.563 0.701 0.171
61 S 0.586 0.813 0.662
62 S 0.662 0.586 0.813
63 S 0.671 0.937 0.299
64 S 0.687 0.338 0.086
65 S 0.701 0.171 0.563
66 S 0.799 0.829 0.063
67 S 0.813 0.662 0.586
68 S 0.829 0.063 0.799
69 S 0.838 0.414 0.313
70 S 0.914 0.187 0.162
71 S 0.937 0.299 0.671
72 S 0.953 0.453 0.047

=====

[15]
The following is a DFT calculation (PBEsol) of a relaxed structure of Nb2CN.

Output
Total magnetization in μB/f.u.: 0.00
Space group: No. 122
Crystal system: tetragonal
Formation energy (no corrections) in meV per atom: -400

a = 5.863 Å, b = 5.863 Å, c = 5.863 Å
α = 131.97°, β = 131.97°, γ = 70.28°
Element x y z (fractional)
1 Nb 0.121 0.625 0.996
2 Nb 0.375 0.371 0.496
3 Nb 0.629 0.125 0.004
4 Nb 0.875 0.879 0.504
5 C 0.250 0.750 0.500
6 C 0.500 0.500 0.000
7 N 0.000 0.000 0.000
8 N 0.750 0.250 0.500

=====

[16]
The following is a DFT calculation (PBEsol) of a relaxed structure of BeWCl2.

Output
Total magnetization in μB/f.u.: 0.00
Space group: No. 99
Crystal system: tetragonal
Formation energy (no corrections) in meV per atom: 89

a = 3.028 Å, b = 3.028 Å, c = 7.135 Å
α = 90.00°, β = 90.00°, γ = 90.00°
Element x y z (fractional)
1 Be 0.000 0.000 0.000
2 W 0.500 0.500 0.842
3 Cl 0.000 0.000 0.613
4 Cl 0.500 0.500 0.181

=====

[17]
The following is a DFT calculation (PBEsol) of a relaxed structure of TaAl2Ag.

Output
Total magnetization in μB/f.u.: 0.00
DFT formation energy in eV per atom: -0.16
Space group: No. 123
Crystal system: tetragonal

a = 2.837 Å, b = 2.837 Å, c = 7.995 Å
α = 90.00°, β = 90.00°, γ = 90.00°
Element x y z (fractional)
1 Ta 0.000 0.000 0.000
2 Al 0.500 0.500 0.251
3 Al 0.500 0.500 0.749
4 Ag 0.000 0.000 0.500

=====

[18]
The following is a DFT calculation (PBEsol) of a relaxed structure of Al2CuP.

Output
Total magnetization in μB/f.u.: 0.00
DFT formation energy in eV per atom: -0.08
Space group: No. 47
Crystal system: orthorhombic

a = 2.671 Å, b = 3.023 Å, c = 7.263 Å
α = 90.00°, β = 90.00°, γ = 90.00°
Element x y z (fractional)
1 Al 0.000 0.000 0.221
2 Al 0.000 0.000 0.779
3 Cu 0.500 0.500 0.000
4 P 0.000 0.500 0.500

=====

[19]
The following is a DFT calculation (PBEsol) of a relaxed structure of MgAu4.

Output
Total magnetization in μB/f.u.: 0.00
DFT formation energy in eV per atom: -0.13
Space group: No. 139
Crystal system: tetragonal

a = 7.307 Å, b = 7.307 Å, c = 7.307 Å
α = 150.05°, β = 150.05°, γ = 42.87°
Element x y z (fractional)
1 Mg 0.000 0.000 0.000
2 Au 0.250 0.750 0.500
3 Au 0.404 0.404 0.000
4 Au 0.596 0.596 0.000
5 Au 0.750 0.250 0.500

=====

[20]
The following is a DFT calculation (PBEsol) of a relaxed structure of LaZrPd3.

Output
Total magnetization in μB/f.u.: 0.00
DFT formation energy in eV per atom: -0.09
Space group: No. 221
Crystal system: cubic

a = 4.899 Å, b = 4.899 Å, c = 4.899 Å
α = 90.00°, β = 90.00°, γ = 90.00°
Element x y z (fractional)
1 La 0.000 0.000 0.000
2 Zr 0.500 0.500 0.500
3 Pd 0.000 0.500 0.500
4 Pd 0.500 0.000 0.500
5 Pd 0.500 0.500 0.000